# 1
Th2OsPd | GGA-PBE | optimized geometry

Unit cell a=7.207 b=7.207 c=7.207 alpha=132.10 beta=132.10 gamma=70.07
Fractional coordinates of all 8 atoms:
Th: 0.115 0.365 0.750
Th: 0.365 0.115 0.250
Th: 0.635 0.885 0.750
Th: 0.885 0.635 0.250
Os: 0.125 0.875 0.250
Os: 0.875 0.125 0.750
Pd: 0.375 0.625 0.750
Pd: 0.625 0.375 0.250

Values from the calculation:
As for the density: 12.51 g/cm3. The magnetic moment comes out at 0.01 μB/cell. The formation energy comes out at -0.539 eV per atom.


# 2
Pm2InPd2 | GGA-PBE | optimized geometry

Unit cell a=7.831 b=7.831 c=3.838 alpha=90.00 beta=90.00 gamma=90.00
Fractional coordinates of all 10 atoms:
Pm: 0.175 0.325 0.000
Pm: 0.325 0.825 0.000
Pm: 0.675 0.175 0.000
Pm: 0.825 0.675 0.000
In: 0.000 0.000 0.500
In: 0.500 0.500 0.500
Pd: 0.127 0.627 0.500
Pd: 0.373 0.127 0.500
Pd: 0.627 0.873 0.500
Pd: 0.873 0.373 0.500

Values from the calculation:
The calculation puts the energy at -5.35 eV per atom. As for the density: 8.72 g/cm3. The magnetic moment comes out at 0.01 μB/cell.


# 3
KZnInF6 | GGA-PBE | optimized geometry

Unit cell a=7.562 b=9.732 c=6.606 alpha=90.00 beta=90.97 gamma=90.00
Fractional coordinates of all 36 atoms:
K: 0.247 0.129 0.007
K: 0.247 0.371 0.507
K: 0.753 0.629 0.493
K: 0.753 0.871 0.993
Zn: 0.251 0.709 0.346
Zn: 0.251 0.791 0.846
Zn: 0.749 0.209 0.154
Zn: 0.749 0.291 0.654
In: 0.000 0.000 0.500
In: 0.000 0.500 0.000
In: 0.500 0.000 0.500
In: 0.500 0.500 0.000
F: 0.005 0.700 0.904
F: 0.005 0.800 0.404
F: 0.078 0.552 0.290
F: 0.078 0.948 0.790
F: 0.249 0.061 0.398
F: 0.249 0.439 0.898
F: 0.250 0.654 0.631
F: 0.250 0.846 0.131
F: 0.421 0.549 0.288
F: 0.421 0.951 0.788
F: 0.494 0.703 0.914
F: 0.494 0.797 0.414
F: 0.506 0.203 0.586
F: 0.506 0.297 0.086
F: 0.579 0.049 0.212
F: 0.579 0.451 0.712
F: 0.750 0.154 0.869
F: 0.750 0.346 0.369
F: 0.751 0.561 0.102
F: 0.751 0.939 0.602
F: 0.922 0.052 0.210
F: 0.922 0.448 0.710
F: 0.995 0.200 0.596
F: 0.995 0.300 0.096

Values from the calculation:
The calculation puts the energy at -4.29 eV per atom. As for the density: 4.55 g/cm3.